Entry 1:
Computed, not measured: crystalline NbSiAs2Br at its relaxed geometry at the PBE level of DFT.

abc: 5.046 5.046 5.100
angles: 90.00 90.00 90.00
Space group P4/mmm (No. 123)
Unique sites:
Nb 0.000 0.000 0.000 x1
Si 0.500 0.500 0.500 x1
As 0.000 0.500 0.000 x2
Br 0.000 0.000 0.500 x1

The energy above the most stable polymorph in this dataset comes out at 0.000 eV per atom. Its volume is 25.97 Å³/atom.

Entry 2:
Computed, not measured: crystalline Sr3Ge2Pt2 at its relaxed geometry at the PBE level of DFT.

abc: 4.377 4.670 18.470
angles: 90.00 90.00 90.00
Space group Immm (No. 71)
Unique sites:
Sr 0.000 0.000 0.000 x2
Sr 0.000 0.500 0.313 x4
Ge 0.000 0.000 0.431 x4
Pt 0.000 0.500 0.134 x4

Its volume is 26.97 Å³/atom. As for the formation enthalpy at 0 K: -765 meV per atom.

Entry 3:
Computed, not measured: crystalline FeMo2As at its relaxed geometry at the PBE level of DFT.

abc: 3.257 4.541 8.134
angles: 90.00 90.00 90.00
Space group Cmm2 (No. 35)
Unique sites:
Fe 0.000 0.000 0.000 x2
Mo 0.000 0.000 0.510 x2
Mo 0.000 0.500 0.246 x2
As 0.000 0.500 0.770 x2

Its volume is 15.04 Å³/atom. As for the formation enthalpy at 0 K: 214 meV per atom.

Entry 4:
Computed, not measured: crystalline V2NiHRh at its relaxed geometry at the PBE level of DFT.

abc: 3.769 3.769 3.743
angles: 90.00 90.00 90.00
Space group P4/mmm (No. 123)
Unique sites:
V 0.000 0.500 0.000 x2
Ni 0.000 0.000 0.500 x1
H 0.000 0.000 0.000 x1
Rh 0.500 0.500 0.500 x1

The energy above the most stable polymorph in this dataset comes out at 0.000 eV per atom. Its volume is 10.63 Å³/atom.

Entry 5:
Computed, not measured: crystalline Ho8Cu2Au at its relaxed geometry at the PBE level of DFT.

abc: 8.398 13.200 5.633
angles: 90.00 108.41 90.00
Space group Cm (No. 8)
Unique sites:
Ho 0.000 0.000 0.000 x2
Ho 0.087 0.373 0.788 x4
Ho 0.159 0.127 0.578 x4
Ho 0.252 0.500 0.380 x2
Ho 0.373 0.220 0.188 x4
Cu 0.376 0.304 0.692 x4
Au 0.375 0.000 0.315 x2

The energy above the most stable polymorph in this dataset comes out at 0.119 eV per atom. Its volume is 26.93 Å³/atom. As for the formation enthalpy at 0 K: -111 meV per atom.

Entry 6:
Computed, not measured: crystalline BaNaTl2In2 at its relaxed geometry at the PBE level of DFT.

abc: 5.2191 5.2191 7.9629
angles: 90.00 90.00 120.00
Space group P-3m1 (No. 164)
Unique sites:
Ba 0.0000 0.0000 0.0000 x1
Na 0.0000 0.0000 0.5000 x1
Tl 0.3333 0.6667 0.2655 x2
In 0.3333 0.6667 0.6994 x2

Its volume is 31.31 Å³/atom. As for the formation enthalpy at 0 K: -253 meV per atom.

Entry 7:
Computed, not measured: crystalline KNa2P at its relaxed geometry at the PBE level of DFT.

abc: 3.426 5.549 15.485
angles: 90.00 90.00 90.00
Space group Immm (No. 71)
Unique sites:
K 0.000 0.000 0.000 x2
Na 0.000 0.000 0.326 x4
P 0.000 0.000 0.500 x2

Its volume is 36.80 Å³/atom. As for the formation enthalpy at 0 K: 40 meV per atom.

Entry 8:
Computed, not measured: crystalline ScCo6 at its relaxed geometry at the PBE level of DFT.

abc: 5.971 5.971 5.971
angles: 90.00 90.00 90.00
Space group Im-3m (No. 229)
Unique sites:
Sc 0.000 0.000 0.000 x2
Co 0.000 0.250 0.500 x12

The energy above the most stable polymorph in this dataset comes out at 0.779 eV per atom. Its volume is 15.20 Å³/atom. As for the formation enthalpy at 0 K: 675 meV per atom.

Entry 9:
Computed, not measured: crystalline ZnRe2Br at its relaxed geometry at the PBE level of DFT.

abc: 2.795 2.795 8.202
angles: 90.00 90.00 90.00
Space group P4/mmm (No. 123)
Unique sites:
Zn 0.000 0.000 0.000 x1
Re 0.500 0.500 0.236 x2
Br 0.000 0.000 0.500 x1

The energy above the most stable polymorph in this dataset comes out at 0.967 eV per atom. Its volume is 16.02 Å³/atom.

Entry 10:
Computed, not measured: crystalline Ho2AlTe at its relaxed geometry at the PBE level of DFT.

abc: 4.401 23.392 4.168
angles: 90.00 90.00 90.00
Space group Cmcm (No. 63)
Unique sites:
Ho 0.000 0.063 0.250 x4
Ho 0.000 0.332 0.250 x4
Al 0.000 0.463 0.250 x4
Te 0.000 0.195 0.250 x4

The energy above the most stable polymorph in this dataset comes out at 0.000 eV per atom. Its volume is 26.81 Å³/atom.

Entry 11:
Computed, not measured: crystalline NbGe3Se at its relaxed geometry at the PBE level of DFT.

abc: 5.058 5.058 5.058
angles: 90.00 90.00 90.00
Space group Pm-3m (No. 221)
Unique sites:
Nb 0.000 0.000 0.000 x1
Ge 0.000 0.000 0.500 x3
Se 0.500 0.500 0.500 x1

The energy above the most stable polymorph in this dataset comes out at 0.000 eV per atom. Its volume is 25.88 Å³/atom.

Entry 12:
Computed, not measured: crystalline Na2TiH at its relaxed geometry at the PBE level of DFT.

abc: 7.374 7.374 7.374
angles: 90.00 90.00 90.00
Space group Fm-3m (No. 225)
Unique sites:
Na 0.250 0.250 0.250 x8
Ti 0.000 0.000 0.000 x4
H 0.000 0.000 0.500 x4

The energy above the most stable polymorph in this dataset comes out at 0.617 eV per atom. Its volume is 25.06 Å³/atom.

no.,total magnetization (μB/cell)
1,0.002
2,0.000
3,4.372
4,0.000
5,0.002
6,0.000
7,0.000
8,0.027
9,0.000
10,0.000
11,1.712
12,12.239